Record 1
# SrMnMo2 PBEsol relaxed
data_SrMnMo2
_cell_length_a 2.923
_cell_length_b 4.035
_cell_length_c 6.791
_cell_angle_alpha 90.00
_cell_angle_beta 102.19
_cell_angle_gamma 90.00
_space_group_name_H-M_alt 'P 1 m 1'
_space_group_IT_number 6
loop_
_space_group_symop_operation_xyz
'x,y,z'
'x,-y,z'
loop_
_atom_site_label
_atom_site_fract_x
_atom_site_fract_y
_atom_site_fract_z
Sr1 0.000 0.000 0.000
Mn1 0.802 0.500 0.333
Mo1 0.265 0.500 0.643
Mo2 0.539 0.000 0.471
# Calculated volume in A^3/atom: 19.57
# Energy relative to the elements in eV per atom: 0.754
# E in eV per atom: -8.030
# N(E_F) in states/eV per atom: 1.15
# Density in g cm⁻³: 7.09


Record 2
# SrMnMo2 PBEsol relaxed
data_SrMnMo2
_cell_length_a 4.959
_cell_length_b 4.959
_cell_length_c 2.808
_cell_angle_alpha 90.00
_cell_angle_beta 90.00
_cell_angle_gamma 90.00
_space_group_name_H-M_alt 'P 4/m m m'
_space_group_IT_number 123
_space_group_name_Hall '-P 4 2'
loop_
_atom_site_label
_atom_site_fract_x
_atom_site_fract_y
_atom_site_fract_z
Sr1 0.000 0.000 0.000
Mn1 0.500 0.500 0.000
Mo1 0.000 0.500 0.500
# Calculated volume in A^3/atom: 17.26
# Energy relative to the elements in eV per atom: 1.396
# E in eV per atom: -7.389
# N(E_F) in states/eV per atom: 1.27
# Density in g cm⁻³: 8.04


Record 3
# SrMnMo2 PBEsol relaxed
data_SrMnMo2
_cell_length_a 2.9497
_cell_length_b 2.9497
_cell_length_c 27.8082
_cell_angle_alpha 90.00
_cell_angle_beta 90.00
_cell_angle_gamma 120.00
_space_group_name_H-M_alt 'R -3 m'
_space_group_IT_number 166
_space_group_name_Hall '-R 3 2"'
loop_
_atom_site_label
_atom_site_fract_x
_atom_site_fract_y
_atom_site_fract_z
Sr1 0.0000 0.0000 0.0000
Mn1 0.0000 0.0000 0.5000
Mo1 0.0000 0.0000 0.2314
# Calculated volume in A^3/atom: 17.46
# Energy relative to the elements in eV per atom: 0.975
# E in eV per atom: -7.809
# N(E_F) in states/eV per atom: 1.06
# Density in g cm⁻³: 7.95


Record 4
# SrMnMo2 PBEsol relaxed
data_SrMnMo2
_cell_length_a 3.330
_cell_length_b 4.592
_cell_length_c 9.311
_cell_angle_alpha 90.00
_cell_angle_beta 90.00
_cell_angle_gamma 90.00
_space_group_name_H-M_alt 'C m m 2'
_space_group_IT_number 35
loop_
_space_group_symop_operation_xyz
'x,y,z'
'-x,-y,z'
'-x,y,z'
'x,-y,z'
'x+1/2,y+1/2,z'
'-x+1/2,-y+1/2,z'
'-x+1/2,y+1/2,z'
'x+1/2,-y+1/2,z'
loop_
_atom_site_label
_atom_site_fract_x
_atom_site_fract_y
_atom_site_fract_z
Sr1 0.000 0.000 0.000
Mn1 0.000 0.500 0.288
Mo1 0.000 0.000 0.486
Mo2 0.000 0.500 0.703
# Calculated volume in A^3/atom: 17.79
# Energy relative to the elements in eV per atom: 0.802
# E in eV per atom: -7.982
# N(E_F) in states/eV per atom: 1.08
# Density in g cm⁻³: 7.80


Record 5
# SrMnMo2 PBEsol relaxed
data_SrMnMo2
_cell_length_a 2.993
_cell_length_b 5.005
_cell_length_c 9.389
_cell_angle_alpha 90.00
_cell_angle_beta 90.00
_cell_angle_gamma 90.00
_space_group_name_H-M_alt 'I m m 2'
_space_group_IT_number 44
loop_
_space_group_symop_operation_xyz
'x,y,z'
'-x,-y,z'
'-x,y,z'
'x,-y,z'
'x+1/2,y+1/2,z+1/2'
'-x+1/2,-y+1/2,z+1/2'
'-x+1/2,y+1/2,z+1/2'
'x+1/2,-y+1/2,z+1/2'
loop_
_atom_site_label
_atom_site_fract_x
_atom_site_fract_y
_atom_site_fract_z
Sr1 0.000 0.000 0.000
Mn1 0.000 0.500 0.768
Mo1 0.000 0.000 0.448
Mo2 0.000 0.500 0.213
# Calculated volume in A^3/atom: 17.58
# Energy relative to the elements in eV per atom: 1.090
# E in eV per atom: -7.694
# N(E_F) in states/eV per atom: 1.20
# Density in g cm⁻³: 7.90


Record 6
# TaMnMo2 PBEsol relaxed
data_TaMnMo2
_cell_length_a 3.097
_cell_length_b 4.333
_cell_length_c 8.751
_cell_angle_alpha 90.00
_cell_angle_beta 90.00
_cell_angle_gamma 90.00
_space_group_name_H-M_alt 'I m m m'
_space_group_IT_number 71
_space_group_name_Hall '-I 2 2'
loop_
_atom_site_label
_atom_site_fract_x
_atom_site_fract_y
_atom_site_fract_z
Ta1 0.000 0.000 0.000
Mn1 0.000 0.000 0.500
Mo1 0.000 0.500 0.246
# Calculated volume in A^3/atom: 14.68
# Energy relative to the elements in eV per atom: 0.000
# E in eV per atom: -11.462
# N(E_F) in states/eV per atom: 0.64
# Density in g cm⁻³: 12.10


Record 7
# TaMnMo2 PBEsol relaxed
data_TaMnMo2
_cell_length_a 2.717
_cell_length_b 4.315
_cell_length_c 5.111
_cell_angle_alpha 90.00
_cell_angle_beta 99.96
_cell_angle_gamma 90.00
_space_group_name_H-M_alt 'P 1 m 1'
_space_group_IT_number 6
loop_
_space_group_symop_operation_xyz
'x,y,z'
'x,-y,z'
loop_
_atom_site_label
_atom_site_fract_x
_atom_site_fract_y
_atom_site_fract_z
Ta1 0.000 0.000 0.000
Mn1 0.744 0.500 0.242
Mo1 0.258 0.500 0.737
Mo2 0.498 0.000 0.493
# Calculated volume in A^3/atom: 14.75
# Energy relative to the elements in eV per atom: 0.050
# E in eV per atom: -11.412
# N(E_F) in states/eV per atom: 0.78
# Density in g cm⁻³: 12.04


Record 8
# TaMn2TeMo PBEsol relaxed
data_TaMn2TeMo
_cell_length_a 4.397
_cell_length_b 4.397
_cell_length_c 5.057
_cell_angle_alpha 90.00
_cell_angle_beta 90.00
_cell_angle_gamma 90.00
_space_group_name_H-M_alt 'P 4/m m m'
_space_group_IT_number 123
_space_group_name_Hall '-P 4 2'
loop_
_atom_site_label
_atom_site_fract_x
_atom_site_fract_y
_atom_site_fract_z
Ta1 0.000 0.000 0.000
Mn1 0.000 0.500 0.500
Te1 0.500 0.500 0.000
Mo1 0.500 0.500 0.500
# Calculated volume in A^3/atom: 19.56
# E in eV per atom: -7.925
# N(E_F) in states/eV per atom: 1.34
# Density in g cm⁻³: 8.74
# Energy relative to the elements, uncorrected in kJ/mol of formula units: 747


| no. | size of the total moment (Bohr magnetons per cell) |
| --- | --- |
| 1 | 0.7 |
| 2 | 2.0 |
| 3 | 1.3 |
| 4 | 4.8 |
| 5 | 0.8 |
| 6 | 0.0 |
| 7 | 0.9 |
| 8 | 3.2 |